No. 1
{
  "formula": "Pm5In2Rh2",
  "functional": "PBE",
  "state": "optimized geometry",
  "dft_energy_ev_per_cell": -97.08,
  "delta_e_f_ev_per_fu": -4.6,
  "spacegroup": "Cmce, No. 64",
  "cell": [[8.023, -3.610, 0.000], [8.023, 3.610, 0.000], [0.000, 0.000, 8.618]],
  "species": ["Pm", "Pm", "Pm", "Pm", "Pm", "Pm", "Pm", "Pm", "Pm", "Pm", "In", "In", "In", "In", "Rh", "Rh", "Rh", "Rh"],
  "frac_coords": [[0.000, 0.000, 0.000], [0.039, 0.721, 0.681], [0.221, 0.539, 0.181], [0.279, 0.961, 0.681], [0.461, 0.779, 0.181], [0.500, 0.500, 0.500], [0.539, 0.221, 0.819], [0.721, 0.039, 0.319], [0.779, 0.461, 0.819], [0.961, 0.279, 0.319], [0.215, 0.215, 0.000], [0.285, 0.285, 0.500], [0.715, 0.715, 0.500], [0.785, 0.785, 0.000], [0.132, 0.868, 0.378], [0.368, 0.632, 0.878], [0.632, 0.368, 0.122], [0.868, 0.132, 0.622]]
}

No. 2
{
  "formula": "Pm3InRh",
  "functional": "PBE",
  "state": "optimized geometry",
  "dft_energy_ev_per_cell": -25.89,
  "delta_e_f_ev_per_fu": -1.6,
  "spacegroup": "Pm-3m, No. 221",
  "polymorph_energy_ev_per_fu": 1.01,
  "cell": [[5.439, 0.000, 0.000], [0.000, 5.439, 0.000], [0.000, 0.000, 5.439]],
  "species": ["Pm", "Pm", "Pm", "In", "Rh"],
  "frac_coords": [[0.000, 0.000, 0.500], [0.000, 0.500, 0.000], [0.500, 0.000, 0.000], [0.500, 0.500, 0.500], [0.000, 0.000, 0.000]]
}

No. 3
{
  "formula": "PmIn2Rh",
  "functional": "PBE",
  "state": "optimized geometry",
  "dft_energy_ev_per_cell": -19.24,
  "delta_e_f_ev_per_fu": -1.7,
  "spacegroup": "P4/mmm, No. 123",
  "polymorph_energy_ev_per_fu": 0.79,
  "cell": [[3.403, 0.000, 0.000], [0.000, 3.403, 0.000], [0.000, 0.000, 7.634]],
  "species": ["Pm", "In", "In", "Rh"],
  "frac_coords": [[0.000, 0.000, 0.000], [0.500, 0.500, 0.301], [0.500, 0.500, 0.699], [0.000, 0.000, 0.500]]
}

No. 4
{
  "formula": "PmInRh",
  "functional": "PBE",
  "state": "optimized geometry",
  "dft_energy_ev_per_cell": -67.12,
  "delta_e_f_ev_per_fu": -1.9,
  "spacegroup": "Pnma, No. 62",
  "polymorph_energy_ev_per_fu": 0.18,
  "cell": [[7.537, 0.000, 0.000], [0.000, 4.931, 0.000], [0.000, 0.000, 7.409]],
  "species": ["Pm", "Pm", "Pm", "Pm", "In", "In", "In", "In", "Rh", "Rh", "Rh", "Rh"],
  "frac_coords": [[0.032, 0.250, 0.196], [0.468, 0.750, 0.696], [0.532, 0.250, 0.304], [0.968, 0.750, 0.804], [0.197, 0.250, 0.610], [0.303, 0.750, 0.110], [0.697, 0.250, 0.890], [0.803, 0.750, 0.390], [0.161, 0.750, 0.447], [0.339, 0.250, 0.947], [0.661, 0.750, 0.053], [0.839, 0.250, 0.553]]
}

No. 5
{
  "formula": "Pm6In2Rh",
  "functional": "PBE",
  "state": "optimized geometry",
  "dft_energy_ev_per_cell": -45.04,
  "delta_e_f_ev_per_fu": -3.7,
  "spacegroup": "Amm2, No. 38",
  "cell": [[3.866, 0.000, 0.000], [0.000, 7.697, 4.446], [0.000, -7.697, 4.446]],
  "species": ["Pm", "Pm", "Pm", "Pm", "Pm", "Pm", "In", "In", "Rh"],
  "frac_coords": [[0.000, 0.000, 0.000], [0.000, 0.514, 0.756], [0.000, 0.756, 0.514], [0.500, 0.154, 0.757], [0.500, 0.359, 0.359], [0.500, 0.757, 0.154], [0.000, 0.090, 0.423], [0.000, 0.423, 0.090], [0.500, 0.757, 0.757]]
}

No. 6
{
  "formula": "PmIn12Rh6",
  "functional": "PBE",
  "state": "optimized geometry",
  "dft_energy_ev_per_cell": -87.07,
  "delta_e_f_ev_per_fu": -5.3,
  "spacegroup": "R-3m, No. 166",
  "cell": [[6.230, 3.597, 3.042], [-6.230, 3.597, 3.042], [0.000, -7.193, 3.042]],
  "species": ["Pm", "In", "In", "In", "In", "In", "In", "In", "In", "In", "In", "In", "In", "Rh", "Rh", "Rh", "Rh", "Rh", "Rh"],
  "frac_coords": [[0.000, 0.000, 0.000], [0.119, 0.500, 0.881], [0.119, 0.881, 0.500], [0.149, 0.408, 0.408], [0.408, 0.149, 0.408], [0.408, 0.408, 0.149], [0.500, 0.119, 0.881], [0.500, 0.881, 0.119], [0.592, 0.592, 0.851], [0.592, 0.851, 0.592], [0.851, 0.592, 0.592], [0.881, 0.119, 0.500], [0.881, 0.500, 0.119], [0.272, 0.272, 0.696], [0.272, 0.696, 0.272], [0.304, 0.728, 0.728], [0.696, 0.272, 0.272], [0.728, 0.304, 0.728], [0.728, 0.728, 0.304]]
}

No. 7
{
  "formula": "PmInRh",
  "functional": "PBE",
  "state": "optimized geometry",
  "dft_energy_ev_per_cell": -16.39,
  "delta_e_f_ev_per_fu": -1.6,
  "spacegroup": "P-6m2, No. 187",
  "polymorph_energy_ev_per_fu": 0.57,
  "cell": [[4.682, 0.000, 0.000], [-2.341, 4.055, 0.000], [0.000, 0.000, 3.672]],
  "species": ["Pm", "In", "Rh"],
  "frac_coords": [[0.000, 0.000, 0.000], [0.667, 0.333, 0.500], [0.333, 0.667, 0.500]]
}

No. 8
{
  "formula": "PmInRh",
  "functional": "PBE",
  "state": "optimized geometry",
  "dft_energy_ev_per_cell": -101.76,
  "delta_e_f_ev_per_fu": -2.1,
  "spacegroup": "P2_1/m, No. 11",
  "polymorph_energy_ev_per_fu": 0.00,
  "cell": [[7.562, 0.000, 0.000], [0.000, 4.149, 0.000], [-0.270, 0.000, 12.889]],
  "species": ["Pm", "Pm", "Pm", "Pm", "Pm", "Pm", "In", "In", "In", "In", "In", "In", "Rh", "Rh", "Rh", "Rh", "Rh", "Rh"],
  "frac_coords": [[0.041, 0.250, 0.124], [0.159, 0.250, 0.418], [0.448, 0.750, 0.787], [0.552, 0.250, 0.213], [0.841, 0.750, 0.582], [0.959, 0.750, 0.876], [0.120, 0.250, 0.704], [0.359, 0.750, 0.044], [0.497, 0.750, 0.413], [0.503, 0.250, 0.587], [0.641, 0.250, 0.956], [0.880, 0.750, 0.296], [0.247, 0.750, 0.251], [0.251, 0.250, 0.916], [0.252, 0.750, 0.584], [0.748, 0.250, 0.416], [0.749, 0.750, 0.084], [0.753, 0.250, 0.749]]
}

No. 9
{
  "formula": "Pm2In8Rh",
  "functional": "PBE",
  "state": "optimized geometry",
  "dft_energy_ev_per_cell": -43.73,
  "delta_e_f_ev_per_fu": -5.0,
  "spacegroup": "P4/mmm, No. 123",
  "cell": [[4.685, 0.000, 0.000], [0.000, 4.685, 0.000], [0.000, 0.000, 12.301]],
  "species": ["Pm", "Pm", "In", "In", "In", "In", "In", "In", "In", "In", "Rh"],
  "frac_coords": [[0.000, 0.000, 0.192], [0.000, 0.000, 0.808], [0.000, 0.500, 0.000], [0.000, 0.500, 0.379], [0.000, 0.500, 0.621], [0.500, 0.000, 0.000], [0.500, 0.000, 0.379], [0.500, 0.000, 0.621], [0.500, 0.500, 0.191], [0.500, 0.500, 0.809], [0.000, 0.000, 0.500]]
}

No. 10
{
  "formula": "Pm2In3Rh2",
  "functional": "PBE",
  "state": "optimized geometry",
  "dft_energy_ev_per_cell": -36.82,
  "delta_e_f_ev_per_fu": -4.4,
  "spacegroup": "C2/m, No. 12",
  "polymorph_energy_ev_per_fu": 0.00,
  "cell": [[5.144, -2.219, 0.000], [5.144, 2.219, 0.000], [-2.841, 0.000, 6.977]],
  "species": ["Pm", "Pm", "In", "In", "In", "Rh", "Rh"],
  "frac_coords": [[0.146, 0.146, 0.286], [0.854, 0.854, 0.714], [0.368, 0.368, 0.053], [0.500, 0.500, 0.500], [0.632, 0.632, 0.947], [0.142, 0.142, 0.697], [0.858, 0.858, 0.303]]
}

Please write out number 1 again, unchanged.
{
  "formula": "Pm5In2Rh2",
  "functional": "PBE",
  "state": "optimized geometry",
  "dft_energy_ev_per_cell": -97.08,
  "delta_e_f_ev_per_fu": -4.6,
  "spacegroup": "Cmce, No. 64",
  "cell": [[8.023, -3.610, 0.000], [8.023, 3.610, 0.000], [0.000, 0.000, 8.618]],
  "species": ["Pm", "Pm", "Pm", "Pm", "Pm", "Pm", "Pm", "Pm", "Pm", "Pm", "In", "In", "In", "In", "Rh", "Rh", "Rh", "Rh"],
  "frac_coords": [[0.000, 0.000, 0.000], [0.039, 0.721, 0.681], [0.221, 0.539, 0.181], [0.279, 0.961, 0.681], [0.461, 0.779, 0.181], [0.500, 0.500, 0.500], [0.539, 0.221, 0.819], [0.721, 0.039, 0.319], [0.779, 0.461, 0.819], [0.961, 0.279, 0.319], [0.215, 0.215, 0.000], [0.285, 0.285, 0.500], [0.715, 0.715, 0.500], [0.785, 0.785, 0.000], [0.132, 0.868, 0.378], [0.368, 0.632, 0.878], [0.632, 0.368, 0.122], [0.868, 0.132, 0.622]]
}